## Ce2Dy2Bi2C (PBE-GGA)

Data for crystalline Ce2Dy2Bi2C at its relaxed geometry.

Its crystal system is tetragonal.

The structure belongs to space group I4/mmm (No. 139); the cell edges are 4.882, 4.882 and 16.474 Å and the angles 90.00°, 90.00° and 90.00°. The inequivalent atoms are Ce at (0.000, 0.000, 0.157), Dy at (0.000, 0.500, 0.000), Bi at (0.000, 0.000, 0.362) and C at (0.000, 0.000, 0.000).

## Ce2DyBiC (PBE-GGA)

Data for crystalline Ce2DyBiC at its relaxed geometry.

Its crystal system is tetragonal.

The structure belongs to space group P4/mmm (No. 123); the cell edges are 4.984, 4.984 and 4.963 Å and the angles 90.00°, 90.00° and 90.00°. The inequivalent atoms are Ce at (0.000, 0.500, 0.000), Dy at (0.000, 0.000, 0.500), Bi at (0.500, 0.500, 0.500) and C at (0.000, 0.000, 0.000).

## Ce2ErBiC (PBE-GGA)

Data for crystalline Ce2ErBiC at its relaxed geometry.

Its crystal system is tetragonal.

The structure belongs to space group P4/mmm (No. 123); the cell edges are 4.993, 4.993 and 4.907 Å and the angles 90.00°, 90.00° and 90.00°. The inequivalent atoms are Ce at (0.000, 0.500, 0.000), Er at (0.000, 0.000, 0.500), Bi at (0.500, 0.500, 0.500) and C at (0.000, 0.000, 0.000).

no.,ΔE_f (meV per atom)
1,-627
2,-474
3,-471